1.
CaIn7Hg12 | PBE | optimized geometry Values from VASP.

Quantum ESPRESSO input file:
```
&SYSTEM
  ibrav = 0, nat = 20, ntyp = 3
/
ATOMIC_SPECIES
Ca 40.08 Ca.upf
In 114.82 In.upf
Hg 200.59 Hg.upf
CELL_PARAMETERS angstrom
-5.449 5.449 5.449
5.449 -5.449 5.449
5.449 5.449 -5.449
ATOMIC_POSITIONS crystal
Ca 0.000 0.000 0.000
In 0.000 0.000 0.500
In 0.000 0.500 0.000
In 0.000 0.500 0.500
In 0.500 0.000 0.000
In 0.500 0.000 0.500
In 0.500 0.500 0.000
In 0.500 0.500 0.500
Hg 0.120 0.849 0.271
Hg 0.151 0.271 0.423
Hg 0.151 0.729 0.880
Hg 0.271 0.120 0.849
Hg 0.271 0.423 0.151
Hg 0.423 0.151 0.271
Hg 0.577 0.849 0.729
Hg 0.729 0.577 0.849
Hg 0.729 0.880 0.151
Hg 0.849 0.271 0.120
Hg 0.849 0.729 0.577
Hg 0.880 0.151 0.729
```

## Properties
uncorrected energy = -1.17 eV per atom
formation enthalpy at 0 K = 134 kJ/mol of formula units
polymorph energy (0 for the lowest one) = 86 meV per atom
symmetry = Im-3 (204)
ρ = 8.34 g/cm3

=====

2.
Ca5InHg2 | PBE | optimized geometry Values from VASP.

Quantum ESPRESSO input file:
```
&SYSTEM
  ibrav = 0, nat = 16, ntyp = 3
/
ATOMIC_SPECIES
Ca 40.08 Ca.upf
In 114.82 In.upf
Hg 200.59 Hg.upf
CELL_PARAMETERS angstrom
-4.143 4.143 7.386
4.143 -4.143 7.386
4.143 4.143 -7.386
ATOMIC_POSITIONS crystal
Ca 0.000 0.000 0.000
Ca 0.019 0.519 0.833
Ca 0.187 0.019 0.500
Ca 0.313 0.813 0.833
Ca 0.481 0.313 0.500
Ca 0.500 0.500 0.000
Ca 0.519 0.687 0.500
Ca 0.687 0.187 0.167
Ca 0.813 0.981 0.500
Ca 0.981 0.481 0.167
In 0.250 0.250 0.000
In 0.750 0.750 0.000
Hg 0.132 0.368 0.500
Hg 0.368 0.868 0.235
Hg 0.632 0.132 0.765
Hg 0.868 0.632 0.500
```

## Properties
uncorrected energy = -2.09 eV per atom
formation enthalpy at 0 K = -327 kJ/mol of formula units
symmetry = I4/mcm (140)
ρ = 4.69 g/cm3

=====

3.
Ca2InHg | PBE | optimized geometry Values from VASP.

Quantum ESPRESSO input file:
```
&SYSTEM
  ibrav = 0, nat = 4, ntyp = 3
/
ATOMIC_SPECIES
Ca 40.08 Ca.upf
In 114.82 In.upf
Hg 200.59 Hg.upf
CELL_PARAMETERS angstrom
0.000 3.810 3.810
3.810 0.000 3.810
3.810 3.810 0.000
ATOMIC_POSITIONS crystal
Ca 0.000 0.000 0.000
Ca 0.250 0.250 0.250
In 0.500 0.500 0.500
Hg 0.750 0.750 0.750
```

## Properties
uncorrected energy = -2.02 eV per atom
formation enthalpy at 0 K = -99 kJ/mol of formula units
symmetry = F-43m (216)
ρ = 5.94 g/cm3

=====

- Which of these has the highest formation enthalpy at 0 K?
  CaIn7Hg12

=====

- Which of these has the lowest ρ?
  Ca5InHg2